[1]
Here is a PBEsol-optimized structure of ZnBIO2 from Alexandria. Energies are from meta-GGA SCAN.

Crystal system: tetragonal
N(E_F), states/eV/f.u.: 1.464
DFT total energy, eV/atom: -13.435

Unit cell a=3.6876 b=3.6876 c=6.2585 alpha=90.00 beta=90.00 gamma=90.00
Last column: nearest neighbours and their distance in Å.
Space group P4/mmm (No. 123)
Asymmetric unit:
1 Zn 0.0000 0.0000 0.0000 [1 per cell]  4 O 1.84
2 B 0.5000 0.5000 0.5000 [1 per cell]  4 I 2.61
3 I 0.0000 0.0000 0.5000 [1 per cell]  4 B 2.61
4 O 0.0000 0.5000 0.0000 [2 per cell]  2 Zn 1.84

***

[2]
Here is a PBEsol-optimized structure of KZnCo2 from Alexandria. Energies are from meta-GGA SCAN.

E_form, eV/atom: 0.388
Crystal system: trigonal
N(E_F), states/eV/f.u.: 2.482
DFT total energy, eV/atom: -13.725

Unit cell a=4.0155 b=4.0155 c=17.7605 alpha=90.00 beta=90.00 gamma=120.00
Last column: nearest neighbours and their distance in Å.
Space group R3m (No. 160, hexagonal axes)
Asymmetric unit:
1 K 0.0000 0.0000 0.0000 [3 per cell]  7 Co 3.27-3.55, 4 Zn 3.27-3.52
2 Zn 0.0000 0.0000 0.8157 [3 per cell]  6 Co 2.39-2.40
3 Co 0.0000 0.0000 0.1841 [3 per cell]  3 Co 2.32, 3 Zn 2.40
4 Co 0.0000 0.0000 0.5153 [3 per cell]  3 Co 2.32, 3 Zn 2.39

***

[3]
Here is a PBEsol-optimized structure of CoP2Rh from Alexandria. Energies are from meta-GGA SCAN.

E_form, eV/atom: -0.302
Crystal system: tetragonal
N(E_F), states/eV/f.u.: 2.464
DFT total energy, eV/atom: -18.271

Unit cell a=4.9968 b=4.9968 c=10.2189 alpha=90.00 beta=90.00 gamma=90.00
Last column: nearest neighbours and their distance in Å.
Space group I-42d (No. 122)
Asymmetric unit:
1 Co 0.0000 0.0000 0.0000 [4 per cell]  4 P 2.12
2 P 0.2276 0.2500 0.1250 [8 per cell]  2 Co 2.12, 2 Rh 2.25
3 Rh 0.0000 0.0000 0.5000 [4 per cell]  4 P 2.25

***

[4]
Here is a PBEsol-optimized structure of ZrTlSe2 from Alexandria. Energies are from meta-GGA SCAN.

Crystal system: cubic
N(E_F), states/eV/f.u.: 3.205
DFT total energy, eV/atom: -35.777

Unit cell a=7.0062 b=7.0062 c=7.0062 alpha=90.00 beta=90.00 gamma=90.00
Last column: nearest neighbours and their distance in Å.
Space group F-43m (No. 216)
Asymmetric unit:
1 Zr 0.0000 0.0000 0.0000 [4 per cell]  4 Se 3.03, 4 Tl 3.03
2 Tl 0.2500 0.2500 0.2500 [4 per cell]  4 Zr 3.03, 4 Se 3.03
3 Se 0.0000 0.0000 0.5000 [4 per cell]  4 Tl 3.03, 4 Se 3.03
4 Se 0.2500 0.2500 0.7500 [4 per cell]  4 Se 3.03, 4 Zr 3.03

***

[5]
Here is a PBEsol-optimized structure of Li4V2P4H3O16 from Alexandria. Energies are from meta-GGA SCAN.

Crystal system: triclinic
N(E_F), states/eV/f.u.: 6.110
DFT total energy, eV/atom: -9.118

Unit cell a=4.8514 b=7.5549 c=8.1279 alpha=91.21 beta=91.22 gamma=103.64
Last column: nearest neighbours and their distance in Å.
Space group P1 (No. 1)
Asymmetric unit:
1 Li 0.0000 0.0000 0.0000 [1 per cell]  4 O 1.97-2.00
2 Li 0.2175 0.3056 0.7474 [1 per cell]  4 O 1.96-2.00
3 Li 0.4881 0.4635 0.2255 [1 per cell]  4 O 1.95-2.15
4 Li 0.7418 0.8239 0.5343 [1 per cell]  4 O 1.90-1.99
5 V 0.1038 0.1433 0.3772 [1 per cell]  6 O 2.04-2.10
6 V 0.6182 0.6485 0.8780 [1 per cell]  6 O 2.02-2.09
7 P 0.2448 0.9101 0.7229 [1 per cell]  4 O 1.53-1.57
8 P 0.4812 0.8924 0.2099 [1 per cell]  4 O 1.52-1.64
9 P 0.7291 0.4029 0.5387 [1 per cell]  4 O 1.52-1.62
10 P 0.9853 0.3809 0.0296 [1 per cell]  4 O 1.54-1.56
11 H 0.0571 0.6292 0.4270 [1 per cell]  1 O 1.00
12 H 0.1325 0.6507 0.2004 [1 per cell]  1 O 1.00
13 H 0.5888 0.1438 0.8692 [1 per cell]  1 O 1.11
14 O 0.0853 0.3284 0.1991 [1 per cell]  1 P 1.54
15 O 0.1350 0.9585 0.5550 [1 per cell]  1 P 1.54
16 O 0.2429 0.4826 0.9337 [1 per cell]  1 P 1.54
17 O 0.2581 0.0042 0.1910 [1 per cell]  1 P 1.53
18 O 0.3071 0.6924 0.2722 [1 per cell]  1 H 1.00
19 O 0.3677 0.0953 0.8201 [1 per cell]  1 H 1.11
20 O 0.4659 0.7961 0.7007 [1 per cell]  1 P 1.54
21 O 0.4967 0.3106 0.4144 [1 per cell]  1 P 1.53
22 O 0.6111 0.4468 0.7026 [1 per cell]  1 P 1.52
23 O 0.6108 0.8533 0.0482 [1 per cell]  1 P 1.52
24 O 0.7044 0.9631 0.3448 [1 per cell]  1 P 1.52
25 O 0.7877 0.5127 0.0618 [1 per cell]  1 P 1.56
26 O 0.8488 0.2070 0.9273 [1 per cell]  1 H 1.31
27 O 0.8552 0.5992 0.4598 [1 per cell]  1 H 1.00
28 O 0.9666 0.3016 0.5549 [1 per cell]  1 P 1.53
29 O 0.9992 0.8101 0.8272 [1 per cell]  1 P 1.53

***

[6]
Here is a PBEsol-optimized structure of BeNi from Alexandria. Energies are from meta-GGA SCAN.

E_form, eV/atom: -0.423
Crystal system: monoclinic
N(E_F), states/eV/f.u.: 0.831
DFT total energy, eV/atom: -10.686

Unit cell a=8.0428 b=2.4515 c=3.7681 alpha=90.00 beta=108.37 gamma=90.00
Last column: nearest neighbours and their distance in Å.
Space group C2/m (No. 12)
Asymmetric unit:
1 Be 0.1297 0.0000 0.3259 [4 per cell]  7 Ni 2.24-2.28, 4 Be 2.32-2.45
2 Ni 0.1150 0.5000 0.8165 [4 per cell]  7 Be 2.24-2.28, 4 Ni 2.45-2.50